1.
DFT (PBE-GGA) results for crystalline LaSiMo at its relaxed geometry.

Results
**Crystal system**: hexagonal
**Theoretical density**: 6.408 Mg/m³
**Raw formation energy**: -0.4 eV per formula unit

a = 4.3139 Å, b = 4.3139 Å, c = 4.2273 Å
α = 90.00°, β = 90.00°, γ = 120.00°
Last column: nearest neighbours and their distance in Å.
Element x y z (fractional)
La 0.0000 0.0000 0.0000  6 Mo 3.27, 6 Si 3.27
Si 0.6667 0.3333 0.5000  3 Mo 2.49
Mo 0.3333 0.6667 0.5000  3 Si 2.49

***

2.
DFT (PBE-GGA) results for crystalline Li2YSn3Se6 at its relaxed geometry.

Results
**Crystal system**: monoclinic
**Theoretical density**: 5.153 Mg/m³
**Raw formation energy**: -10.9 eV per formula unit

a = 7.1127 Å, b = 7.1127 Å, c = 7.2568 Å
α = 99.30°, β = 99.30°, γ = 120.10°
Last column: nearest neighbours and their distance in Å.
Element x y z (fractional)
Li 0.1718 0.8282 0.0000  6 Se 2.84-2.95
Li 0.8282 0.1718 0.0000  6 Se 2.84-2.95
Y 0.5000 0.5000 0.0000  6 Se 2.85-2.87
Sn 0.0000 0.0000 0.5000  6 Se 2.97-2.98
Sn 0.3358 0.6642 0.5000  6 Se 2.93-3.03
Sn 0.6642 0.3358 0.5000  6 Se 2.93-3.03
Se 0.0902 0.4200 0.7663  2 Li 2.84-2.86, 1 Y 2.85, 3 Sn 2.98-3.03
Se 0.2511 0.2511 0.2423  1 Y 2.87, 3 Sn 2.93-2.97, 2 Li 2.95
Se 0.4200 0.0902 0.7663  2 Li 2.84-2.86, 1 Y 2.85, 3 Sn 2.98-3.03
Se 0.5800 0.9098 0.2337  2 Li 2.84-2.86, 1 Y 2.85, 3 Sn 2.98-3.03
Se 0.7489 0.7489 0.7577  1 Y 2.87, 3 Sn 2.93-2.97, 2 Li 2.95
Se 0.9098 0.5800 0.2337  2 Li 2.84-2.86, 1 Y 2.85, 3 Sn 2.98-3.03

***

3.
DFT (PBE-GGA) results for crystalline SeICl3 at its relaxed geometry.

Results
**Distance to the lowest polymorph of the same formula**: 0.27 eV/f.u.
**Crystal system**: triclinic
**Theoretical density**: 2.369 Mg/m³
**Raw formation energy**: -0.9 eV per formula unit

a = 5.8802 Å, b = 8.3002 Å, c = 8.9685 Å
α = 90.04°, β = 90.10°, γ = 90.00°
Last column: nearest neighbours and their distance in Å.
Element x y z (fractional)
Se 0.0000 0.0000 0.0000  3 Cl 2.26-2.27
Se 0.4984 0.4998 0.7076  3 Cl 2.26-2.27
I 0.0491 0.9998 0.6688  1 Se 2.98, 2 Cl 3.01
I 0.5509 0.5001 0.0387  1 Se 2.98, 2 Cl 3.01
Cl 0.2387 0.2131 0.0197  1 Se 2.26
Cl 0.2387 0.7870 0.0197  1 Se 2.26
Cl 0.3762 0.4996 0.4678  1 Se 2.27
Cl 0.7369 0.2868 0.6876  1 Se 2.26
Cl 0.7369 0.7128 0.6875  1 Se 2.26
Cl 0.8803 0.0001 0.2402  1 Se 2.27

***

4.
DFT (PBE-GGA) results for crystalline Pm4Pr4Nd at its relaxed geometry.

Results
**Energy of formation**: 0.013 eV per atom
**Crystal system**: tetragonal
**Theoretical density**: 6.721 Mg/m³

a = 8.2372 Å, b = 8.2372 Å, c = 8.2372 Å
α = 95.74°, β = 95.74°, γ = 143.12°
Last column: nearest neighbours and their distance in Å.
Element x y z (fractional)
Pm 0.0000 0.3345 0.3345  5 Pm 3.66-3.67, 6 Pr 3.68-3.69, 1 Nd 3.70
Pm 0.0000 0.6655 0.6655  5 Pm 3.66-3.67, 6 Pr 3.68-3.69, 1 Nd 3.70
Pm 0.3345 0.0000 0.3345  5 Pm 3.66-3.67, 6 Pr 3.68-3.69, 1 Nd 3.70
Pm 0.6655 0.0000 0.6655  5 Pm 3.66-3.67, 6 Pr 3.68-3.69, 1 Nd 3.70
Pr 0.3331 0.3331 0.6662  4 Pr 3.68-3.69, 6 Pm 3.68-3.69, 2 Nd 3.69
Pr 0.3331 0.6669 0.0000  4 Pr 3.68-3.69, 6 Pm 3.68-3.69, 2 Nd 3.69
Pr 0.6669 0.3331 0.0000  4 Pr 3.68-3.69, 6 Pm 3.68-3.69, 2 Nd 3.69
Pr 0.6669 0.6669 0.3338  4 Pr 3.68-3.69, 6 Pm 3.68-3.69, 2 Nd 3.69
Nd 0.0000 0.0000 0.0000  8 Pr 3.69, 4 Pm 3.70

***

The evaluated Fermi-level density of states for the records listed, in turn: 1.913 4.644 0.000 15.010 states/eV/cell.
The evaluated volume for the records listed, in turn: 68.1 300.5 437.7 318.2 Å³ per cell.